The following is a DFT calculation (PBE-GGA) of Pm8Ga2Ni after structural relaxation.

a = 9.640 Å, b = 9.640 Å, c = 6.809 Å
α = 101.77°, β = 101.77°, γ = 30.13°
Atoms (fractional coordinates):
Pm: 0.019 0.019 0.280
Pm: 0.210 0.210 0.811
Pm: 0.349 0.349 0.522
Pm: 0.408 0.408 0.038
Pm: 0.592 0.592 0.962
Pm: 0.651 0.651 0.478
Pm: 0.790 0.790 0.189
Pm: 0.981 0.981 0.720
Ga: 0.186 0.186 0.251
Ga: 0.814 0.814 0.749
Ni: 0.500 0.500 0.500

Properties
Volume (Å³/f.u.): 311
Symmetry: C2/m, No. 12
Formation energy from the elements (meV/atom): -245
E (eV per cell): -52.54

---

The following is a DFT calculation (PBE-GGA) of Be2SbRu after structural relaxation.

a = 8.019 Å, b = 3.555 Å, c = 4.124 Å
α = 90.00°, β = 106.73°, γ = 90.00°
Atoms (fractional coordinates):
Be: 0.222 0.000 0.126
Be: 0.278 0.500 0.874
Be: 0.722 0.500 0.126
Be: 0.778 0.000 0.874
Sb: 0.000 0.000 0.500
Sb: 0.500 0.500 0.500
Ru: 0.000 0.500 0.000
Ru: 0.500 0.000 0.000

Properties
Volume (Å³/f.u.): 56
Symmetry: C2/m, No. 12
E (eV per cell): -40.46

---

The following is a DFT calculation (PBE-GGA) of RbCuAu after structural relaxation.

a = 4.434 Å, b = 4.434 Å, c = 5.166 Å
α = 90.00°, β = 90.00°, γ = 120.00°
Atoms (fractional coordinates):
Rb: 0.000 0.000 0.000
Cu: 0.667 0.333 0.501
Au: 0.333 0.667 0.500

Properties
Volume (Å³/f.u.): 88
Symmetry: P3m1, No. 156
Formation energy from the elements (meV/atom): 18
E (eV per cell): -8.29

---

The following is a DFT calculation (PBE-GGA) of CsLaBe2Al after structural relaxation.

a = 5.020 Å, b = 5.020 Å, c = 5.902 Å
α = 90.00°, β = 90.00°, γ = 90.00°
Atoms (fractional coordinates):
Cs: 0.000 0.000 0.000
La: 0.000 0.000 0.500
Be: 0.000 0.500 0.000
Be: 0.500 0.000 0.000
Al: 0.500 0.500 0.500

Properties
Volume (Å³/f.u.): 149
Symmetry: P4/mmm, No. 123
Formation energy from the elements (meV/atom): 1908
E (eV per cell): -7.44

---

The following is a DFT calculation (PBE-GGA) of Nd5HoTm3 after structural relaxation.

a = 10.480 Å, b = 10.480 Å, c = 11.764 Å
α = 121.51°, β = 121.51°, γ = 35.02°
Atoms (fractional coordinates):
Nd: 0.027 0.699 0.341
Nd: 0.101 0.899 0.750
Nd: 0.150 0.489 0.670
Nd: 0.301 0.973 0.159
Nd: 0.489 0.150 0.170
Nd: 0.511 0.850 0.830
Nd: 0.699 0.027 0.841
Nd: 0.850 0.511 0.330
Nd: 0.899 0.101 0.250
Nd: 0.973 0.301 0.659
Ho: 0.390 0.610 0.250
Ho: 0.610 0.390 0.750
Tm: 0.106 0.542 0.973
Tm: 0.458 0.894 0.527
Tm: 0.500 0.500 0.000
Tm: 0.500 0.500 0.500
Tm: 0.542 0.106 0.473
Tm: 0.894 0.458 0.027

Properties
Volume (Å³/f.u.): 310
Symmetry: C2/c, No. 15
Formation energy from the elements (meV/atom): 278
E (eV per cell): -78.65

---

The following is a DFT calculation (PBE-GGA) of MnTl2Cr after structural relaxation.

a = 3.445 Å, b = 3.445 Å, c = 6.874 Å
α = 90.00°, β = 90.00°, γ = 90.00°
Atoms (fractional coordinates):
Mn: 0.000 0.000 0.000
Tl: 0.500 0.500 0.248
Tl: 0.500 0.500 0.752
Cr: 0.000 0.000 0.500

Properties
Volume (Å³/f.u.): 82
Symmetry: P4/mmm, No. 123
Formation energy from the elements (meV/atom): 605
E (eV per cell): -21.11

---

The following is a DFT calculation (PBE-GGA) of TmScBe after structural relaxation.

a = 3.299 Å, b = 3.299 Å, c = 11.494 Å
α = 90.00°, β = 90.00°, γ = 90.00°
Atoms (fractional coordinates):
Tm: 0.000 0.000 0.000
Tm: 0.500 0.500 0.500
Sc: 0.000 0.000 0.273
Sc: 0.500 0.500 0.773
Be: 0.000 0.000 0.651
Be: 0.500 0.500 0.151

Properties
Volume (Å³/f.u.): 63
Symmetry: I4mm, No. 107
Formation energy from the elements (meV/atom): 36
E (eV per cell): -28.84

---

The following is a DFT calculation (PBE-GGA) of YSbHI2 after structural relaxation.

a = 5.590 Å, b = 5.590 Å, c = 4.000 Å
α = 90.00°, β = 90.00°, γ = 90.00°
Atoms (fractional coordinates):
Y: 0.000 0.000 0.000
Sb: 0.500 0.500 0.000
H: 0.500 0.500 0.500
I: 0.000 0.500 0.500
I: 0.500 0.000 0.500

Properties
Volume (Å³/f.u.): 125
Symmetry: P4/mmm, No. 123
E (eV per cell): -17.26

---

The following is a DFT calculation (PBE-GGA) of Cs2GeTe after structural relaxation.

a = 5.290 Å, b = 5.290 Å, c = 25.541 Å
α = 90.00°, β = 90.00°, γ = 90.00°
Atoms (fractional coordinates):
Cs: 0.249 0.250 0.125
Cs: 0.250 0.749 0.375
Cs: 0.250 0.751 0.875
Cs: 0.251 0.250 0.625
Cs: 0.749 0.750 0.625
Cs: 0.750 0.249 0.875
Cs: 0.750 0.251 0.375
Cs: 0.751 0.750 0.125
Ge: 0.000 0.000 0.500
Ge: 0.000 0.500 0.750
Ge: 0.500 0.000 0.250
Ge: 0.500 0.500 0.000
Te: 0.000 0.000 0.000
Te: 0.000 0.500 0.250
Te: 0.500 0.000 0.750
Te: 0.500 0.500 0.500

Properties
Volume (Å³/f.u.): 179
Symmetry: I-42d, No. 122
E (eV per cell): -36.56

---

The following is a DFT calculation (PBE-GGA) of BeB2Os2 after structural relaxation.

a = 5.906 Å, b = 5.906 Å, c = 2.828 Å
α = 90.00°, β = 90.00°, γ = 90.00°
Atoms (fractional coordinates):
Be: 0.000 0.000 0.000
Be: 0.500 0.500 0.000
B: 0.130 0.370 0.000
B: 0.370 0.870 0.000
B: 0.630 0.130 0.000
B: 0.870 0.630 0.000
Os: 0.165 0.665 0.500
Os: 0.335 0.165 0.500
Os: 0.665 0.835 0.500
Os: 0.835 0.335 0.500

Properties
Volume (Å³/f.u.): 49
Symmetry: P4/mbm, No. 127
Formation energy from the elements (meV/atom): -51
E (eV per cell): -79.59

---

The following is a DFT calculation (PBE-GGA) of Nd2BiS6 after structural relaxation.

a = 6.457 Å, b = 6.457 Å, c = 12.713 Å
α = 90.00°, β = 90.00°, γ = 90.00°
Atoms (fractional coordinates):
Nd: 0.000 0.000 0.165
Nd: 0.000 0.000 0.835
Nd: 0.500 0.500 0.335
Nd: 0.500 0.500 0.665
Bi: 0.000 0.000 0.500
Bi: 0.500 0.500 0.000
S: 0.191 0.191 0.341
S: 0.191 0.191 0.659
S: 0.205 0.205 0.000
S: 0.295 0.705 0.500
S: 0.309 0.691 0.159
S: 0.309 0.691 0.841
S: 0.691 0.309 0.159
S: 0.691 0.309 0.841
S: 0.705 0.295 0.500
S: 0.795 0.795 0.000
S: 0.809 0.809 0.341
S: 0.809 0.809 0.659

Properties
Volume (Å³/f.u.): 265
Symmetry: P4_2/mnm, No. 136
E (eV per cell): -90.87

---

The following is a DFT calculation (PBE-GGA) of AlTl after structural relaxation.

a = 11.703 Å, b = 3.235 Å, c = 7.826 Å
α = 90.00°, β = 94.68°, γ = 90.00°
Atoms (fractional coordinates):
Al: 0.000 0.000 0.000
Al: 0.074 0.500 0.277
Al: 0.396 0.000 0.738
Al: 0.500 0.500 0.000
Al: 0.574 0.000 0.277
Al: 0.896 0.500 0.738
Tl: 0.125 0.000 0.620
Tl: 0.238 0.500 0.990
Tl: 0.348 0.500 0.390
Tl: 0.625 0.500 0.620
Tl: 0.738 0.000 0.990
Tl: 0.848 0.000 0.390

Properties
Volume (Å³/f.u.): 49
Symmetry: Cm, No. 8
Formation energy from the elements (meV/atom): 225
E (eV per cell): -33.95